1.
DFT (GGA-PBE) results for BeTcW after structural relaxation.

a b c (Å): 3.0996 3.0996 8.2854
angles (deg): 90.00 90.00 90.00
Space group I4mm (No. 107)
Inequivalent atoms, fractional coordinates:
Be  0.0000  0.0000  0.0000 x2
Tc  0.0000  0.0000  0.6532 x2
W  0.0000  0.0000  0.3312 x2

Output
energy relative to the elements: -0.017 eV per atom
E above lowest polymorph: 0.143 eV per atom
calculated volume: 79.6 Å³/cell
crystal system: tetragonal

2.
DFT (GGA-PBE) results for PmCdP2O8 after structural relaxation.

a b c (Å): 7.1111 7.1111 6.1920
angles (deg): 90.00 90.00 90.00
Space group I-4m2 (No. 119)
Inequivalent atoms, fractional coordinates:
Pm  0.0000  0.0000  0.0000 x2
Cd  0.0000  0.5000  0.7500 x2
P  0.0000  0.0000  0.5000 x2
P  0.0000  0.5000  0.2500 x2
O  0.0000  0.1718  0.6549 x8
O  0.0000  0.3270  0.0970 x8

Output
formation energy without anion corrections: -2.27 eV/atom
calculated volume: 313.1 Å³/cell
crystal system: tetragonal

3.
DFT (GGA-PBE) results for CsZrNiC2 after structural relaxation.

a b c (Å): 4.4897 4.4897 4.5985
angles (deg): 90.00 90.00 90.00
Space group P4/mmm (No. 123)
Inequivalent atoms, fractional coordinates:
Cs  0.0000  0.0000  0.0000 x1
Zr  0.5000  0.5000  0.5000 x1
Ni  0.0000  0.0000  0.5000 x1
C  0.0000  0.5000  0.0000 x2

Output
energy relative to the elements: 3.104 eV per atom
calculated volume: 92.7 Å³/cell
crystal system: tetragonal

4.
DFT (GGA-PBE) results for CaTeAu after structural relaxation.

a b c (Å): 7.0170 7.0170 7.0170
angles (deg): 90.00 90.00 90.00
Space group F-43m (No. 216)
Inequivalent atoms, fractional coordinates:
Ca  0.0000  0.0000  0.0000 x4
Te  0.0000  0.0000  0.5000 x4
Au  0.2500  0.2500  0.7500 x4

Output
E above lowest polymorph: 0.172 eV per atom
formation energy without anion corrections: -0.75 eV/atom
calculated volume: 345.5 Å³/cell
crystal system: cubic

5.
DFT (GGA-PBE) results for Pr5Nd5Y2 after structural relaxation.

a b c (Å): 15.6222 5.2027 11.6329
angles (deg): 90.00 116.55 90.00
Space group C2/m (No. 12)
Inequivalent atoms, fractional coordinates:
Pr  0.0000  0.0000  0.0000 x2
Pr  0.1654  0.0000  0.4995 x4
Pr  0.2490  0.5000  0.7495 x4
Nd  0.0000  0.5000  0.5000 x2
Nd  0.0823  0.5000  0.2493 x4
Nd  0.1670  0.5000  0.0002 x4
Y  0.0835  0.0000  0.7510 x4

Output
energy relative to the elements: 0.013 eV per atom
calculated volume: 845.8 Å³/cell
crystal system: monoclinic

6.
DFT (GGA-PBE) results for HfCu2Pt4 after structural relaxation.

a b c (Å): 4.8313 5.0884 5.1079
angles (deg): 115.65 96.73 96.22
Space group P1 (No. 1)
Inequivalent atoms, fractional coordinates:
Hf  0.0000  0.0000  0.0000 x1
Cu  0.3777  0.6532  0.1604 x1
Cu  0.3806  0.1558  0.6603 x1
Pt  0.4597  0.6799  0.6853 x1
Pt  0.5502  0.2026  0.2106 x1
Pt  0.9153  0.7388  0.3908 x1
Pt  0.9182  0.3888  0.7414 x1

Output
energy relative to the elements: -0.478 eV per atom
calculated volume: 110.6 Å³/cell
crystal system: triclinic